# 1
First-principles (PBE) data for Ba2SiTe after structural relaxation, as listed in Alexandria.

Cell and atoms, written as CIF:
```
data_Ba2SiTe
_chemical_formula_sum 'Ba2 Si1 Te1'
_symmetry_space_group_name_H-M 'P 4/m m m'
_symmetry_Int_Tables_number 123
_symmetry_space_group_name_Hall '-P 4 2'
_cell_length_a 4.1200
_cell_length_b 4.1200
_cell_length_c 8.5491
_cell_angle_alpha 90.00
_cell_angle_beta 90.00
_cell_angle_gamma 90.00
loop_
_atom_site_label
_atom_site_type_symbol
_atom_site_fract_x
_atom_site_fract_y
_atom_site_fract_z
_atom_site_occupancy
Ba1 Ba 0.0000 0.0000 0.2491 1
Si1 Si 0.5000 0.5000 0.5000 1
Te1 Te 0.5000 0.5000 0.0000 1
```

Properties
Volume in Å³/cell: 145.1
Formation energy without anion corrections in kJ per mole of atoms: -70
ΔE to the lowest computed polymorph in meV per atom: 10.5

=====

# 2
First-principles (PBE) data for BaSiTe2 after structural relaxation, as listed in Alexandria.

Cell and atoms, written as CIF:
```
data_BaSiTe2
_chemical_formula_sum 'Ba3 Si3 Te6'
_symmetry_space_group_name_H-M 'R -3 m'
_symmetry_Int_Tables_number 166
_symmetry_space_group_name_Hall '-R 3 2"'
_cell_length_a 4.5276
_cell_length_b 4.5276
_cell_length_c 23.1271
_cell_angle_alpha 90.00
_cell_angle_beta 90.00
_cell_angle_gamma 120.00
loop_
_atom_site_label
_atom_site_type_symbol
_atom_site_fract_x
_atom_site_fract_y
_atom_site_fract_z
_atom_site_occupancy
Ba1 Ba 0.0000 0.0000 0.0000 1
Si1 Si 0.0000 0.0000 0.5000 1
Te1 Te 0.0000 0.0000 0.2341 1
```

Properties
Volume in Å³/cell: 410.6
Formation energy without anion corrections in kJ per mole of atoms: -59

=====

# 3
First-principles (PBE) data for Ba2SiTe after structural relaxation, as listed in Alexandria.

Cell and atoms, written as CIF:
```
data_Ba2SiTe
_chemical_formula_sum 'Ba4 Si2 Te2'
_symmetry_space_group_name_H-M 'I 4/m m m'
_symmetry_Int_Tables_number 139
_symmetry_space_group_name_Hall '-I 4 2'
_cell_length_a 6.2278
_cell_length_b 6.2278
_cell_length_c 7.2200
_cell_angle_alpha 90.00
_cell_angle_beta 90.00
_cell_angle_gamma 90.00
loop_
_atom_site_label
_atom_site_type_symbol
_atom_site_fract_x
_atom_site_fract_y
_atom_site_fract_z
_atom_site_occupancy
Ba1 Ba 0.0000 0.5000 0.2500 1
Si1 Si 0.0000 0.0000 0.0000 1
Te1 Te 0.0000 0.0000 0.5000 1
```

Properties
Volume in Å³/cell: 280.0
Formation energy without anion corrections in kJ per mole of atoms: -62
ΔE to the lowest computed polymorph in meV per atom: 99.2

=====

# 4
First-principles (PBE) data for BaSiTe2 after structural relaxation, as listed in Alexandria.

Cell and atoms, written as CIF:
```
data_BaSiTe2
_chemical_formula_sum 'Ba2 Si2 Te4'
_symmetry_space_group_name_H-M 'I m m 2'
_symmetry_Int_Tables_number 44
_cell_length_a 4.0719
_cell_length_b 5.7065
_cell_length_c 10.7324
_cell_angle_alpha 90.00
_cell_angle_beta 90.00
_cell_angle_gamma 90.00
loop_
_symmetry_equiv_pos_as_xyz
'x,y,z'
'-x,-y,z'
'-x,y,z'
'x,-y,z'
'x+1/2,y+1/2,z+1/2'
'-x+1/2,-y+1/2,z+1/2'
'-x+1/2,y+1/2,z+1/2'
'x+1/2,-y+1/2,z+1/2'
loop_
_atom_site_label
_atom_site_type_symbol
_atom_site_fract_x
_atom_site_fract_y
_atom_site_fract_z
_atom_site_occupancy
Ba1 Ba 0.0000 0.0000 0.0000 1
Si1 Si 0.0000 0.5000 0.7648 1
Te1 Te 0.0000 0.0000 0.4389 1
Te2 Te 0.0000 0.5000 0.2158 1
```

Properties
Volume in Å³/cell: 249.4
Formation energy without anion corrections in kJ per mole of atoms: -45